Entry 1:
# BeSb2CI (PBE-GGA, relaxed)
data_BeSb2CI
_chemical_formula_sum 'Be1 Sb2 C1 I1'
_symmetry_space_group_name_H-M 'P 1'
_symmetry_Int_Tables_number 1
_symmetry_space_group_name_Hall 'P 1'
_cell_length_a 4.739
_cell_length_b 4.739
_cell_length_c 4.963
_cell_angle_alpha 90.00
_cell_angle_beta 90.00
_cell_angle_gamma 90.00
loop_
_atom_site_label
_atom_site_fract_x
_atom_site_fract_y
_atom_site_fract_z
I1 0.000 0.000 0.500
Sb1 0.000 0.500 0.000
Sb2 0.500 0.000 0.000
C1 0.000 0.000 0.000
Be1 0.500 0.500 0.500
# - energy above the lowest structure with this stoichiometry (eV per atom) = 0.0000
# - formation energy without anion corrections (eV/f.u.) = 7.2
# - SG = P4/mmm

=====

Entry 2:
# BeTe2CI (PBE-GGA, relaxed)
data_BeTe2CI
_chemical_formula_sum 'Be1 Te2 C1 I1'
_symmetry_space_group_name_H-M 'P 1'
_symmetry_Int_Tables_number 1
_symmetry_space_group_name_Hall 'P 1'
_cell_length_a 4.791
_cell_length_b 4.791
_cell_length_c 4.924
_cell_angle_alpha 90.00
_cell_angle_beta 90.00
_cell_angle_gamma 90.00
loop_
_atom_site_label
_atom_site_fract_x
_atom_site_fract_y
_atom_site_fract_z
I1 0.000 0.000 0.500
Be1 0.500 0.500 0.500
C1 0.000 0.000 0.000
Te1 0.000 0.500 0.000
Te2 0.500 0.000 0.000
# - energy above the lowest structure with this stoichiometry (eV per atom) = 0.0000
# - formation energy without anion corrections (eV/f.u.) = 7.2
# - SG = P4/mmm

=====

Entry 3:
# BeWCI2 (PBE-GGA, relaxed)
data_BeWCI2
_chemical_formula_sum 'Be1 W1 C1 I2'
_symmetry_space_group_name_H-M 'P 1'
_symmetry_Int_Tables_number 1
_symmetry_space_group_name_Hall 'P 1'
_cell_length_a 5.314
_cell_length_b 3.365
_cell_length_c 5.314
_cell_angle_alpha 90.00
_cell_angle_beta 90.00
_cell_angle_gamma 90.00
loop_
_atom_site_label
_atom_site_fract_x
_atom_site_fract_y
_atom_site_fract_z
I1 0.000 0.000 0.500
I2 0.500 0.000 0.000
Be1 0.000 0.000 0.000
C1 0.000 0.500 0.000
W1 0.500 0.500 0.500
# - formation energy without anion corrections (eV/f.u.) = 8.4
# - SG = P4/mmm

=====

Entry 4:
# BeZnCI2 (PBE-GGA, relaxed)
data_BeZnCI2
_chemical_formula_sum 'Be1 Zn1 C1 I2'
_symmetry_space_group_name_H-M 'P 1'
_symmetry_Int_Tables_number 1
_symmetry_space_group_name_Hall 'P 1'
_cell_length_a 5.469
_cell_length_b 3.819
_cell_length_c 5.469
_cell_angle_alpha 90.00
_cell_angle_beta 90.00
_cell_angle_gamma 90.00
loop_
_atom_site_label
_atom_site_fract_x
_atom_site_fract_y
_atom_site_fract_z
I1 0.000 0.000 0.500
I2 0.500 0.000 0.000
Be1 0.500 0.500 0.500
Zn1 0.000 0.500 0.000
C1 0.000 0.000 0.000
# - formation energy without anion corrections (eV/f.u.) = 5.9
# - SG = P4/mmm

=====

Entry 5:
# BeIn3C (PBE-GGA, relaxed)
data_BeIn3C
_chemical_formula_sum 'Be1 In3 C1'
_symmetry_space_group_name_H-M 'P 1'
_symmetry_Int_Tables_number 1
_symmetry_space_group_name_Hall 'P 1'
_cell_length_a 4.710
_cell_length_b 4.710
_cell_length_c 4.710
_cell_angle_alpha 90.00
_cell_angle_beta 90.00
_cell_angle_gamma 90.00
loop_
_atom_site_label
_atom_site_fract_x
_atom_site_fract_y
_atom_site_fract_z
Be1 0.500 0.500 0.500
C1 0.000 0.000 0.000
In1 0.000 0.500 0.000
In2 0.000 0.000 0.500
In3 0.500 0.000 0.000
# - ΔH_f (0 K) (eV per atom) = 1.16
# - energy above the lowest structure with this stoichiometry (eV per atom) = 0.0000
# - SG = Pm-3m

=====

Entry 6:
# BeIn2C2 (PBE-GGA, relaxed)
data_BeIn2C2
_chemical_formula_sum 'Be2 In4 C4'
_symmetry_space_group_name_H-M 'P 1'
_symmetry_Int_Tables_number 1
_symmetry_space_group_name_Hall 'P 1'
_cell_length_a 6.265
_cell_length_b 6.265
_cell_length_c 3.483
_cell_angle_alpha 90.00
_cell_angle_beta 90.00
_cell_angle_gamma 90.00
loop_
_atom_site_label
_atom_site_fract_x
_atom_site_fract_y
_atom_site_fract_z
Be1 0.000 0.000 0.000
Be2 0.500 0.500 0.000
C1 0.317 0.817 0.000
C2 0.817 0.683 0.000
C3 0.683 0.183 0.000
C4 0.183 0.317 0.000
In1 0.154 0.654 0.500
In2 0.654 0.846 0.500
In3 0.846 0.346 0.500
In4 0.346 0.154 0.500
# - ΔH_f (0 K) (eV per atom) = 1.54
# - energy above the lowest structure with this stoichiometry (eV per atom) = 0.6144
# - SG = P4/mbm

=====

Entry 7:
# BeIn2C2 (PBE-GGA, relaxed)
data_BeIn2C2
_chemical_formula_sum 'Be1 In2 C2'
_symmetry_space_group_name_H-M 'P 1'
_symmetry_Int_Tables_number 1
_symmetry_space_group_name_Hall 'P 1'
_cell_length_a 5.557
_cell_length_b 5.557
_cell_length_c 4.689
_cell_angle_alpha 53.66
_cell_angle_beta 53.66
_cell_angle_gamma 90.00
loop_
_atom_site_label
_atom_site_fract_x
_atom_site_fract_y
_atom_site_fract_z
Be1 0.000 0.000 0.000
C1 0.368 0.368 0.265
C2 0.632 0.632 0.735
In1 0.750 0.250 0.500
In2 0.250 0.750 0.500
# - ΔH_f (0 K) (eV per atom) = 0.93
# - energy above the lowest structure with this stoichiometry (eV per atom) = 0.0000
# - SG = I4/mmm

=====

Entry 8:
# La2BeInC (PBE-GGA, relaxed)
data_La2BeInC
_chemical_formula_sum 'La2 Be1 In1 C1'
_symmetry_space_group_name_H-M 'P 1'
_symmetry_Int_Tables_number 1
_symmetry_space_group_name_Hall 'P 1'
_cell_length_a 5.615
_cell_length_b 5.615
_cell_length_c 3.501
_cell_angle_alpha 90.00
_cell_angle_beta 90.00
_cell_angle_gamma 90.00
loop_
_atom_site_label
_atom_site_fract_x
_atom_site_fract_y
_atom_site_fract_z
Be1 0.000 0.000 0.500
C1 0.000 0.000 0.000
In1 0.500 0.500 0.500
La1 0.000 0.500 0.000
La2 0.500 0.000 0.000
# - ΔH_f (0 K) (eV per atom) = -0.19
# - SG = P4/mmm

=====

Entry 9:
# LaBe2InC (PBE-GGA, relaxed)
data_LaBe2InC
_chemical_formula_sum 'La1 Be2 In1 C1'
_symmetry_space_group_name_H-M 'P 1'
_symmetry_Int_Tables_number 1
_symmetry_space_group_name_Hall 'P 1'
_cell_length_a 4.299
_cell_length_b 6.496
_cell_length_c 4.299
_cell_angle_alpha 90.00
_cell_angle_beta 90.00
_cell_angle_gamma 90.00
loop_
_atom_site_label
_atom_site_fract_x
_atom_site_fract_y
_atom_site_fract_z
Be1 0.000 0.000 0.500
Be2 0.500 0.000 0.000
C1 0.500 0.500 0.500
In1 0.000 0.000 0.000
La1 0.000 0.500 0.000
# - ΔH_f (0 K) (eV per atom) = 1.47
# - SG = P4/mmm

=====

Entry 10:
# Be2InCO (PBE-GGA, relaxed)
data_Be2InCO
_chemical_formula_sum 'Be2 In1 C1 O1'
_symmetry_space_group_name_H-M 'P 1'
_symmetry_Int_Tables_number 1
_symmetry_space_group_name_Hall 'P 1'
_cell_length_a 3.290
_cell_length_b 5.759
_cell_length_c 3.290
_cell_angle_alpha 90.00
_cell_angle_beta 90.00
_cell_angle_gamma 90.00
loop_
_atom_site_label
_atom_site_fract_x
_atom_site_fract_y
_atom_site_fract_z
Be1 0.000 0.000 0.500
Be2 0.500 0.000 0.000
C1 0.000 0.000 0.000
O1 0.500 0.500 0.500
In1 0.000 0.500 0.000
# - formation energy without anion corrections (eV/f.u.) = -0.9
# - SG = P4/mmm

=====

Entry 11:
# Be2InSbC (PBE-GGA, relaxed)
data_Be2InSbC
_chemical_formula_sum 'Be2 In1 Sb1 C1'
_symmetry_space_group_name_H-M 'P 1'
_symmetry_Int_Tables_number 1
_symmetry_space_group_name_Hall 'P 1'
_cell_length_a 4.436
_cell_length_b 6.121
_cell_length_c 4.436
_cell_angle_alpha 90.00
_cell_angle_beta 90.00
_cell_angle_gamma 90.00
loop_
_atom_site_label
_atom_site_fract_x
_atom_site_fract_y
_atom_site_fract_z
Sb1 0.000 0.500 0.000
C1 0.500 0.500 0.500
Be1 0.000 0.000 0.500
Be2 0.500 0.000 0.000
In1 0.000 0.000 0.000
# - formation energy without anion corrections (eV/f.u.) = 10.6
# - SG = P4/mmm

=====

Entry 12:
# Sc2BeInC (PBE-GGA, relaxed)
data_Sc2BeInC
_chemical_formula_sum 'Sc2 Be1 In1 C1'
_symmetry_space_group_name_H-M 'P 1'
_symmetry_Int_Tables_number 1
_symmetry_space_group_name_Hall 'P 1'
_cell_length_a 5.278
_cell_length_b 4.251
_cell_length_c 5.278
_cell_angle_alpha 90.00
_cell_angle_beta 90.00
_cell_angle_gamma 90.00
loop_
_atom_site_label
_atom_site_fract_x
_atom_site_fract_y
_atom_site_fract_z
Sc1 0.000 0.000 0.500
Sc2 0.500 0.000 0.000
Be1 0.000 0.500 0.000
C1 0.500 0.500 0.500
In1 0.000 0.000 0.000
# - ΔH_f (0 K) (eV per atom) = 1.66
# - energy above the lowest structure with this stoichiometry (eV per atom) = 1.9966
# - SG = P4/mmm

=====

| no. | calculated volume (Å³ per atom) |
| --- | --- |
| 1 | 22.3 |
| 2 | 22.6 |
| 3 | 19.0 |
| 4 | 22.9 |
| 5 | 20.9 |
| 6 | 13.7 |
| 7 | 15.8 |
| 8 | 22.1 |
| 9 | 24.0 |
| 10 | 12.5 |
| 11 | 24.1 |
| 12 | 23.7 |